(1)
A relaxed BeBRu crystal, computed with PBE.

Calculated values
Space group: P-1, No. 2
Crystal system: triclinic

abc: 2.838 2.839 8.739
angles: 90.21 80.13 90.00
Element x y z (fractional)
Ru: 0.991 0.289 0.530
Ru: 0.254 0.794 0.982
B: 0.711 0.295 0.062
B: 0.533 0.788 0.451
Be: 0.404 0.790 0.697
Be: 0.841 0.292 0.816


(2)
A relaxed BeBRu crystal, computed with PBE.

Calculated values
Space group: F-43m, No. 216
Crystal system: cubic

abc: 3.481 3.481 3.481
angles: 60.00 60.00 60.00
Element x y z (fractional)
Be: 0.000 0.000 0.000
B: 0.250 0.250 0.250
Ru: 0.500 0.500 0.500


no.,DFT total energy (eV per cell),formation enthalpy at 0 K (eV/atom)
1,-39.3,0.004
2,-20.4,-0.255